Below is crystalline FeAg2 at its relaxed geometry, with properties calculated at the GGA-PBE level. Values from VASP.

Output
For the magnetic moment, the calculation gives 0.9993 μB per atom. The value obtained for the calculated formation energy is 0.36 eV per atom. Its density of states at the Fermi level is 2.24 states/eV/f.u. The symmetry is Immm.

```
&SYSTEM
  ibrav = 0, nat = 3, ntyp = 2
/
ATOMIC_SPECIES
Ag 107.87 Ag.upf
Fe 55.84 Fe.upf
CELL_PARAMETERS angstrom
-1.396 2.024 4.259
1.396 -2.024 4.259
1.396 2.024 -4.259
ATOMIC_POSITIONS angstrom
Ag 0.000 0.000 2.866
Ag 0.000 0.000 5.651
Fe 0.000 0.000 0.000
```



Below is crystalline In2SnAu2 at its relaxed geometry, with properties calculated at the GGA-PBE level. Values from VASP.

Output
For the magnetic moment, the calculation gives 0.0000 μB per atom. The value obtained for the calculated formation energy is -0.18 eV per atom. Its relative energy among the computed polymorphs is 0 meV/atom. Its density of states at the Fermi level is 1.76 states/eV/f.u. The symmetry is P2_1/m.

```
&SYSTEM
  ibrav = 0, nat = 10, ntyp = 3
/
ATOMIC_SPECIES
Sn 118.71 Sn.upf
In 114.82 In.upf
Au 196.97 Au.upf
CELL_PARAMETERS angstrom
-4.247 -1.466 -1.786
0.440 -4.140 2.353
-5.353 6.509 7.388
ATOMIC_POSITIONS angstrom
Sn -6.891 3.046 4.071
Sn -2.269 -2.143 3.884
In -4.554 1.725 6.141
In -4.607 -0.822 1.814
In -8.418 4.373 6.612
In -0.743 -3.470 1.343
Au -5.997 0.405 4.113
Au -5.552 4.457 6.273
Au -3.608 -3.554 1.682
Au -3.163 0.499 3.842
```



Below is crystalline BiAuS2 at its relaxed geometry, with properties calculated at the GGA-PBE level. Values from VASP.

Output
For the magnetic moment, the calculation gives 0.0000 μB per atom. Its density of states at the Fermi level is 0.06 states/eV/f.u. For the formation energy from raw total energies, the calculation gives -0.025 eV/atom. The symmetry is P3m1.

```
&SYSTEM
  ibrav = 0, nat = 4, ntyp = 3
/
ATOMIC_SPECIES
S 32.06 S.upf
Au 196.97 Au.upf
Bi 208.98 Bi.upf
CELL_PARAMETERS angstrom
3.733 -2.155 0.000
0.000 4.310 0.000
0.000 0.000 7.125
ATOMIC_POSITIONS angstrom
S 2.489 0.000 2.222
S 1.244 2.155 6.056
Au 0.000 0.000 5.855
Bi 1.244 2.155 3.360
```



Below is crystalline SrHgH2 at its relaxed geometry, with properties calculated at the GGA-PBE level. Values from VASP.

Output
For the magnetic moment, the calculation gives 0.0000 μB per atom. Its relative energy among the computed polymorphs is 141 meV/atom. Its density of states at the Fermi level is 0.00 states/eV/f.u. The symmetry is I-42d.

```
&SYSTEM
  ibrav = 0, nat = 8, ntyp = 3
/
ATOMIC_SPECIES
Sr 87.62 Sr.upf
H 1.01 H.upf
Hg 200.59 Hg.upf
CELL_PARAMETERS angstrom
5.308 0.000 0.000
0.000 5.308 0.000
2.654 2.654 6.629
ATOMIC_POSITIONS angstrom
Sr 2.654 5.308 3.314
Sr 2.654 2.654 0.000
H 3.981 4.433 4.972
H 6.634 6.182 4.972
H 1.779 3.981 1.657
H 3.529 1.327 1.657
Hg 0.000 0.000 0.000
Hg 5.308 2.654 3.314
```



Below is crystalline Y2CdGe at its relaxed geometry, with properties calculated at the GGA-PBE level. Values from VASP.

Output
For the magnetic moment, the calculation gives 0.0000 μB per atom. The value obtained for the calculated formation energy is -0.52 eV per atom. Its density of states at the Fermi level is 2.54 states/eV/f.u. The symmetry is P4/mmm.

```
&SYSTEM
  ibrav = 0, nat = 4, ntyp = 3
/
ATOMIC_SPECIES
Y 88.91 Y.upf
Ge 72.64 Ge.upf
Cd 112.41 Cd.upf
CELL_PARAMETERS angstrom
-2.416 1.054 -2.810
0.121 -4.662 -1.853
-3.907 -1.250 2.889
ATOMIC_POSITIONS angstrom
Y -1.954 -0.625 1.445
Y 0.061 -2.331 -0.927
Ge -1.208 0.527 -1.405
Cd -3.101 -2.429 -0.887
```



Below is crystalline Zn2AgAu6 at its relaxed geometry, with properties calculated at the GGA-PBE level. Values from VASP.

Output
For the magnetic moment, the calculation gives 0.0000 μB per atom. The value obtained for the calculated formation energy is -0.11 eV per atom. Its relative energy among the computed polymorphs is 0 meV/atom. Its density of states at the Fermi level is 1.71 states/eV/f.u. The symmetry is C2/m.

```
&SYSTEM
  ibrav = 0, nat = 9, ntyp = 3
/
ATOMIC_SPECIES
Ag 107.87 Ag.upf
Zn 65.41 Zn.upf
Au 196.97 Au.upf
CELL_PARAMETERS angstrom
4.114 0.000 0.000
2.057 4.497 -0.042
2.057 2.057 8.397
ATOMIC_POSITIONS angstrom
Ag 2.057 3.277 4.177
Zn 4.114 2.291 2.260
Zn 4.114 4.264 6.095
Au 4.114 1.516 5.097
Au 6.171 5.186 7.903
Au 6.171 4.067 1.448
Au 2.057 1.368 0.452
Au 2.057 2.487 6.907
Au 4.114 5.039 3.258
```



Below is crystalline AcZn2AsO6 at its relaxed geometry, with properties calculated at the GGA-PBE level. Values from VASP.

Output
For the magnetic moment, the calculation gives 0.0000 μB per atom. Its density of states at the Fermi level is 0.00 states/eV/f.u. For the formation energy from raw total energies, the calculation gives -1.857 eV/atom. The symmetry is C2/c.

```
&SYSTEM
  ibrav = 0, nat = 20, ntyp = 4
/
ATOMIC_SPECIES
O 16.00 O.upf
Ac 227.00 Ac.upf
As 74.92 As.upf
Zn 65.41 Zn.upf
CELL_PARAMETERS angstrom
-3.219 -5.714 -1.530
4.468 -5.769 -0.847
-1.938 -3.960 5.876
ATOMIC_POSITIONS angstrom
O 2.430 -4.301 0.530
O -2.896 -5.497 -0.220
O -2.012 -6.358 2.737
O 2.048 -7.137 2.623
O -0.266 -2.928 -0.526
O -0.764 -9.655 3.120
O 0.075 -5.789 0.379
O -0.424 -12.516 4.025
O 2.206 -9.947 3.719
O 1.323 -9.086 0.762
O -3.120 -11.143 2.969
O -2.738 -8.307 0.876
Ac 2.345 -6.826 0.155
Ac -3.034 -8.619 3.344
As -1.566 -5.721 4.258
As 0.876 -9.723 -0.759
Zn -1.157 -11.443 2.397
Zn 0.467 -4.001 1.102
Zn -1.547 -6.744 0.761
Zn 0.857 -8.700 2.738
```



Below is crystalline SnBrOF2 at its relaxed geometry, with properties calculated at the GGA-PBE level. Values from VASP.

Output
For the magnetic moment, the calculation gives 0.0000 μB per atom. Its relative energy among the computed polymorphs is 812 meV/atom. Its density of states at the Fermi level is 2.42 states/eV/f.u. For the formation energy from raw total energies, the calculation gives -0.364 eV/atom. The symmetry is P4/mmm.

```
&SYSTEM
  ibrav = 0, nat = 5, ntyp = 4
/
ATOMIC_SPECIES
F 19.00 F.upf
Sn 118.71 Sn.upf
O 16.00 O.upf
Br 79.90 Br.upf
CELL_PARAMETERS angstrom
-2.127 3.678 2.011
-2.298 0.863 -4.008
-3.027 -2.415 1.215
ATOMIC_POSITIONS angstrom
F -1.063 1.839 1.006
F -1.149 0.432 -2.004
Sn -3.726 1.063 -0.391
O -1.513 -1.207 0.608
Br 0.000 0.000 0.000
```



Below is crystalline Cd5Ag4Pd2 at its relaxed geometry, with properties calculated at the GGA-PBE level. Values from VASP.

Output
For the magnetic moment, the calculation gives 0.0000 μB per atom. The value obtained for the calculated formation energy is -0.15 eV per atom. Its density of states at the Fermi level is 3.74 states/eV/f.u. The symmetry is Pbam.

```
&SYSTEM
  ibrav = 0, nat = 22, ntyp = 3
/
ATOMIC_SPECIES
Ag 107.87 Ag.upf
Cd 112.41 Cd.upf
Pd 106.42 Pd.upf
CELL_PARAMETERS angstrom
-0.947 2.484 1.482
-6.671 -3.355 1.360
6.517 -6.712 15.415
ATOMIC_POSITIONS angstrom
Ag -2.419 -6.242 12.042
Ag 1.319 -1.340 6.215
Ag 2.203 -5.890 14.407
Ag 0.349 -7.605 16.096
Ag -3.304 -1.692 3.850
Ag -1.449 0.023 2.161
Ag 1.376 -3.551 9.957
Ag -2.477 -4.031 8.300
Cd -5.340 -3.340 2.187
Cd -0.289 -2.282 3.640
Cd 0.400 -4.138 7.192
Cd 3.000 -5.623 11.342
Cd 3.259 -3.356 7.708
Cd 0.135 -7.785 13.135
Cd -3.153 -4.444 5.434
Cd 5.186 -6.726 14.588
Cd -0.553 -5.928 9.583
Cd -3.335 -1.677 0.680
Pd 0.350 -5.230 12.116
Pd 4.476 -4.366 13.305
Pd -1.450 -2.352 6.141
Pd -5.576 -3.215 4.952
```



Below is crystalline Pm2InHg6 at its relaxed geometry, with properties calculated at the GGA-PBE level. Values from VASP.

Output
For the magnetic moment, the calculation gives 0.0000 μB per atom. The value obtained for the calculated formation energy is -0.32 eV per atom. Its relative energy among the computed polymorphs is 0 meV/atom. Its density of states at the Fermi level is 3.38 states/eV/f.u. The symmetry is C2/m.

```
&SYSTEM
  ibrav = 0, nat = 9, ntyp = 3
/
ATOMIC_SPECIES
In 114.82 In.upf
Pm 145.00 Pm.upf
Hg 200.59 Hg.upf
CELL_PARAMETERS angstrom
-2.101 -4.390 1.143
4.499 1.411 2.754
-3.859 3.883 7.819
ATOMIC_POSITIONS angstrom
In -1.929 1.941 3.909
Pm -0.882 -1.404 3.919
Pm -0.579 2.307 7.796
Hg -2.311 -0.071 6.411
Hg -0.468 0.575 1.350
Hg -3.559 1.176 8.908
Hg 0.851 0.974 5.304
Hg -0.993 0.328 10.366
Hg 2.098 -0.273 2.807
```



Below is crystalline Ca3US6 at its relaxed geometry, with properties calculated at the GGA-PBE level. Values from VASP.

Output
For the magnetic moment, the calculation gives 0.0000 μB per atom. For the formation energy from raw total energies, the calculation gives -1.688 eV/atom. The symmetry is R3.

```
&SYSTEM
  ibrav = 0, nat = 10, ntyp = 3
/
ATOMIC_SPECIES
S 32.06 S.upf
Ca 40.08 Ca.upf
U 238.03 U.upf
CELL_PARAMETERS angstrom
-2.804 6.388 0.070
-5.184 1.486 4.427
1.464 4.390 5.738
ATOMIC_POSITIONS angstrom
S -5.180 3.822 5.693
S -1.263 8.045 4.474
S -1.519 4.233 6.312
S -5.371 8.098 4.098
S -2.337 5.150 2.373
S -4.113 7.356 7.536
Ca -1.414 6.923 7.016
Ca -0.390 3.597 3.833
Ca -5.002 5.388 3.330
U -6.030 8.712 6.508
```